This record from Alexandria describes a relaxed structure of Sr2YW. The functional is GGA-PBEsol.

a b c (Å): 3.2131 6.2876 6.2876
angles (deg): 118.70 90.00 90.00
Element x y z (fractional)
1 Sr 0.0000 0.5000 0.0000
2 Sr 0.0000 0.0000 0.5000
3 W 0.5000 0.0000 0.0000
4 Y 0.5000 0.5000 0.5000

Output
ΔE to the lowest computed polymorph ... 98 meV/atom
SG ... Cmmm (65)
Energy of formation from the pure elements ... 4.47 eV per formula unit
Magnetic moment ... 0.00 μB per atom
V ... 27.9 Å³/atom
Total energy ... -4.961 eV per atom
Fermi-level density of states ... 6.60 states/eV/cell